Material: Be2TeRh
Method: DFT, PBE-GGA
State: optimized geometry

Magnetization, μB per atom: 0.000
Formation energy from raw total energies, eV per atom: 0.380

```
data_Be2TeRh
_symmetry_space_group_name_H-M 'P 1'
_symmetry_Int_Tables_number 1
_cell_length_a 4.351
_cell_length_b 4.351
_cell_length_c 4.351
_cell_angle_alpha 60.00
_cell_angle_beta 60.00
_cell_angle_gamma 60.00
loop_
_symmetry_equiv_pos_as_xyz
'x,y,z'
loop_
_atom_site_label
_atom_site_type_symbol
_atom_site_fract_x
_atom_site_fract_y
_atom_site_fract_z
Te1 Te 0.750 0.750 0.750
Be1 Be 0.000 0.000 0.000
Be2 Be 0.250 0.250 0.250
Rh1 Rh 0.500 0.500 0.500
```


Material: Al2PbIF
Method: DFT, PBE-GGA
State: optimized geometry

Magnetization, μB per atom: 0.000
Formation energy from raw total energies, eV per atom: 0.239

```
data_Al2PbIF
_symmetry_space_group_name_H-M 'P 1'
_symmetry_Int_Tables_number 1
_cell_length_a 5.630
_cell_length_b 4.529
_cell_length_c 5.630
_cell_angle_alpha 90.00
_cell_angle_beta 90.00
_cell_angle_gamma 90.00
loop_
_symmetry_equiv_pos_as_xyz
'x,y,z'
loop_
_atom_site_label
_atom_site_type_symbol
_atom_site_fract_x
_atom_site_fract_y
_atom_site_fract_z
Al1 Al 0.500 0.000 0.000
Al2 Al 0.000 0.000 0.500
F1 F 0.000 0.500 0.000
Pb1 Pb 0.500 0.500 0.500
I1 I 0.000 0.000 0.000
```


Material: TbPm3Pa3N8
Method: DFT, PBE-GGA
State: optimized geometry

Magnetization, μB per atom: 0.000
Formation energy from raw total energies, eV per atom: -1.458

```
data_TbPm3Pa3N8
_symmetry_space_group_name_H-M 'P 1'
_symmetry_Int_Tables_number 1
_cell_length_a 7.055
_cell_length_b 7.055
_cell_length_c 7.066
_cell_angle_alpha 119.94
_cell_angle_beta 90.00
_cell_angle_gamma 120.00
loop_
_symmetry_equiv_pos_as_xyz
'x,y,z'
loop_
_atom_site_label
_atom_site_type_symbol
_atom_site_fract_x
_atom_site_fract_y
_atom_site_fract_z
Pm1 Pm 0.000 0.000 0.000
Pm2 Pm 0.000 0.500 0.000
Pm3 Pm 0.500 0.500 0.000
N1 N 0.269 0.032 0.294
N2 N 0.763 0.032 0.294
N3 N 0.742 0.484 0.725
N4 N 0.731 0.968 0.706
N5 N 0.237 0.968 0.706
N6 N 0.258 0.516 0.275
N7 N 0.763 0.525 0.294
N8 N 0.237 0.475 0.706
Pa1 Pa 0.000 0.500 0.500
Pa2 Pa 0.500 0.000 0.500
Pa3 Pa 0.500 0.500 0.500
Tb1 Tb 0.000 0.000 0.500
```


Material: LiAsOs2
Method: DFT, PBE-GGA
State: optimized geometry

Magnetization, μB per atom: 0.000
DFT formation energy, eV/atom: 0.60

```
data_LiAsOs2
_symmetry_space_group_name_H-M 'P 1'
_symmetry_Int_Tables_number 1
_cell_length_a 2.679
_cell_length_b 2.679
_cell_length_c 9.524
_cell_angle_alpha 90.00
_cell_angle_beta 90.00
_cell_angle_gamma 118.17
loop_
_symmetry_equiv_pos_as_xyz
'x,y,z'
loop_
_atom_site_label
_atom_site_type_symbol
_atom_site_fract_x
_atom_site_fract_y
_atom_site_fract_z
Os1 Os 0.000 0.000 0.510
Os2 Os 0.000 0.000 0.990
As1 As 0.500 0.500 0.250
Li1 Li 0.500 0.500 0.750
```


Material: LiPaNiSe3
Method: DFT, PBE-GGA
State: optimized geometry

Magnetization, μB per atom: 0.003
Formation energy from raw total energies, eV per atom: -1.097

```
data_LiPaNiSe3
_symmetry_space_group_name_H-M 'P 1'
_symmetry_Int_Tables_number 1
_cell_length_a 3.849
_cell_length_b 7.588
_cell_length_c 8.735
_cell_angle_alpha 98.21
_cell_angle_beta 90.00
_cell_angle_gamma 90.00
loop_
_symmetry_equiv_pos_as_xyz
'x,y,z'
loop_
_atom_site_label
_atom_site_type_symbol
_atom_site_fract_x
_atom_site_fract_y
_atom_site_fract_z
Se1 Se 0.250 0.749 0.476
Se2 Se 0.750 0.251 0.524
Se3 Se 0.250 0.088 0.856
Se4 Se 0.750 0.397 0.158
Se5 Se 0.750 0.912 0.144
Se6 Se 0.250 0.603 0.842
Li1 Li 0.750 0.352 0.845
Li2 Li 0.250 0.648 0.155
Pa1 Pa 0.250 0.170 0.270
Pa2 Pa 0.750 0.830 0.730
Ni1 Ni 0.750 0.928 0.419
Ni2 Ni 0.250 0.072 0.581
```


Material: Ho4Tl5N
Method: DFT, PBE-GGA
State: optimized geometry

Magnetization, μB per atom: 0.000
Formation energy from raw total energies, eV per atom: -0.420

```
data_Ho4Tl5N
_symmetry_space_group_name_H-M 'P 1'
_symmetry_Int_Tables_number 1
_cell_length_a 3.597
_cell_length_b 8.636
_cell_length_c 8.746
_cell_angle_alpha 99.64
_cell_angle_beta 101.87
_cell_angle_gamma 90.00
loop_
_symmetry_equiv_pos_as_xyz
'x,y,z'
loop_
_atom_site_label
_atom_site_type_symbol
_atom_site_fract_x
_atom_site_fract_y
_atom_site_fract_z
Ho1 Ho 0.998 0.815 0.996
Ho2 Ho 0.645 0.047 0.290
Ho3 Ho 0.355 0.953 0.710
Ho4 Ho 0.002 0.185 0.004
Tl1 Tl 0.500 0.500 0.000
Tl2 Tl 0.174 0.742 0.348
Tl3 Tl 0.823 0.617 0.647
Tl4 Tl 0.826 0.258 0.652
Tl5 Tl 0.177 0.383 0.353
N1 N 0.500 0.000 0.000
```


Number 1: electronic total energy -16.4 eV/cell. Number 2: electronic total energy -13.4 eV/cell. Number 3: electronic total energy -135.8 eV/cell. Number 4: electronic total energy -26.6 eV/cell. Number 5: electronic total energy -68.5 eV/cell. Number 6: electronic total energy -42.7 eV/cell.